Computed, not measured: a relaxed LaAlHg2 crystal at the PBE level of DFT.

Summary:
M_tot: 0.0 μB per formula unit
Electronic total energy: -2.57 eV/atom

a = 3.5472 Å, b = 4.8120 Å, c = 6.0464 Å
α = 90.00°, β = 90.23°, γ = 90.00°
Fractional positions:
1 La 0.0000 0.0000 0.0000
2 Al 0.5021 0.5000 0.2536
3 Hg 0.4979 0.5000 0.7572
4 Hg 0.5026 0.0000 0.4771